# InTcAg

Crystalline InTcAg at its relaxed geometry (GGA-PBEsol, Alexandria via LeMat-Bulk).

a b c (Å): 4.432 4.432 4.432
angles (deg): 60.00 60.00 60.00
Sites, in units of the cell vectors:
In1 0.500 0.500 0.500
Ag1 0.000 0.000 0.000
Tc1 0.250 0.250 0.250

Energy of formation from the pure elements   2.58 eV/f.u.
Final energy   -4.9918 eV/atom
Mass density   8.65 Mg/m³
Space-group type   F-43m (216)
N(E_F)   2.15 states/eV/cell
Volume   62 Å³/cell
Distance to the lowest polymorph of the same formula   396 meV/atom